First-principles (PBE-GGA) data for an optimized crystal structure of LaTe3Br, as listed in Alexandria.

Summary:
* crystal system: cubic
* N(E_F): 1.43 states/eV per atom
* energy relative to the lowest polymorph listed for this composition: 0.424 eV/f.u.

a b c (Å): 6.1808 6.1808 6.1808
angles (deg): 90.00 90.00 90.00
Closest atoms and distances in Å follow each position.
Element x y z (fractional)
La: 0.0000 0.0000 0.0000  6 Te 3.09
Te: 0.0000 0.0000 0.5000  2 La 3.09
Te: 0.0000 0.5000 0.0000  2 La 3.09
Te: 0.5000 0.0000 0.0000  2 La 3.09
Br: 0.5000 0.5000 0.5000  12 Te 4.37

***

First-principles (PBE-GGA) data for an optimized crystal structure of LaTeBr2, as listed in Alexandria.

Summary:
* crystal system: trigonal
* N(E_F): 0.76 states/eV per atom
* energy relative to the lowest polymorph listed for this composition: 1.595 eV/f.u.

a b c (Å): 11.2438 11.2438 11.2438
angles (deg): 19.70 19.70 19.70
Closest atoms and distances in Å follow each position.
Element x y z (fractional)
La: 0.0000 0.0000 0.0000  6 Br 2.99
Te: 0.5000 0.5000 0.5000  6 Te 3.85, 6 Br 4.15
Br: 0.2727 0.2727 0.2727  3 La 2.99
Br: 0.7273 0.7273 0.7273  3 La 2.99

***

First-principles (PBE-GGA) data for an optimized crystal structure of La4Te3Br, as listed in Alexandria.

Summary:
* crystal system: orthorhombic
* N(E_F): 0.74 states/eV per atom
* energy relative to the lowest polymorph listed for this composition: 0.019 eV/f.u.

a b c (Å): 7.8220 7.8220 4.5592
angles (deg): 90.00 90.00 109.90
Closest atoms and distances in Å follow each position.
Element x y z (fractional)
La: 0.2474 0.2474 0.5000  2 Br 3.18, 4 Te 3.20-3.22
La: 0.2488 0.7512 0.0000  1 Br 3.19, 5 Te 3.20-3.22
La: 0.7512 0.2488 0.0000  1 Br 3.19, 5 Te 3.20-3.22
La: 0.7526 0.7526 0.5000  2 Br 3.18, 4 Te 3.20-3.22
Te: 0.0000 0.5000 0.5000  6 La 3.20
Te: 0.5000 0.0000 0.5000  6 La 3.20
Te: 0.5000 0.5000 0.0000  6 La 3.22
Br: 0.0000 0.0000 0.0000  6 La 3.18-3.19

***

First-principles (PBE-GGA) data for an optimized crystal structure of LaTe2Br, as listed in Alexandria.

Summary:
* crystal system: monoclinic
* energy relative to the lowest polymorph listed for this composition: 0.000 eV/f.u.

a b c (Å): 7.5096 7.5096 5.3664
angles (deg): 98.28 98.28 32.88
Closest atoms and distances in Å follow each position.
Element x y z (fractional)
La: 0.0000 0.0000 0.0000  2 Br 3.07, 4 Te 3.24-3.38
Te: 0.5121 0.5121 0.4941  1 Te 2.78
Te: 0.6619 0.6619 0.2210  1 Te 2.78
Br: 0.3478 0.3478 0.8598  2 La 3.07, 1 Te 3.29

***

First-principles (PBE-GGA) data for an optimized crystal structure of LaTeBr, as listed in Alexandria.

Summary:
* crystal system: cubic
* N(E_F): 0.00 states/eV per atom

a b c (Å): 5.3221 5.3221 5.3221
angles (deg): 60.00 60.00 60.00
Closest atoms and distances in Å follow each position.
Element x y z (fractional)
La: 0.0000 0.0000 0.0000  4 Br 3.26, 4 Te 3.26
Te: 0.2500 0.2500 0.2500  4 La 3.26
Br: 0.7500 0.7500 0.7500  4 La 3.26

***

First-principles (PBE-GGA) data for an optimized crystal structure of LaTe2Br, as listed in Alexandria.

Summary:
* crystal system: cubic
* N(E_F): 1.54 states/eV per atom
* energy relative to the lowest polymorph listed for this composition: 1.971 eV/f.u.

a b c (Å): 5.5826 5.5826 5.5826
angles (deg): 60.00 60.00 60.00
Closest atoms and distances in Å follow each position.
Element x y z (fractional)
La: 0.0000 0.0000 0.0000  8 Te 3.42
Te: 0.2500 0.2500 0.2500  4 La 3.42, 4 Br 3.42
Te: 0.7500 0.7500 0.7500  4 La 3.42, 4 Br 3.42
Br: 0.5000 0.5000 0.5000  8 Te 3.42

***

First-principles (PBE-GGA) data for an optimized crystal structure of LaTeBr2, as listed in Alexandria.

Summary:
* crystal system: tetragonal
* N(E_F): 0.58 states/eV per atom
* energy relative to the lowest polymorph listed for this composition: 1.147 eV/f.u.

a b c (Å): 4.8388 4.8388 4.9618
angles (deg): 90.00 90.00 90.00
Closest atoms and distances in Å follow each position.
Element x y z (fractional)
La: 0.0000 0.0000 0.0000  4 Te 3.42, 8 Br 3.47
Te: 0.5000 0.5000 0.0000  4 La 3.42, 8 Br 3.47
Br: 0.0000 0.5000 0.5000  4 Br 3.42, 4 La 3.47, 4 Te 3.47
Br: 0.5000 0.0000 0.5000  4 Br 3.42, 4 La 3.47, 4 Te 3.47

***

First-principles (PBE-GGA) data for an optimized crystal structure of LaTeBr, as listed in Alexandria.

Summary:
* crystal system: trigonal
* N(E_F): 0.00 states/eV per atom

a b c (Å): 4.6063 4.6063 6.9003
angles (deg): 90.00 90.00 120.00
Closest atoms and distances in Å follow each position.
Element x y z (fractional)
La: 0.0000 0.0000 0.0000  3 Br 3.13, 3 Te 3.14
Te: 0.6667 0.3333 0.2406  3 La 3.14
Br: 0.3333 0.6667 0.7609  3 La 3.13

***

Looking at E_form (uncorrected) for the records above, in order, we have -68; -985; -1507; -1196; -1689; -703; -1096; -1668 meV/atom.
Looking at ρ for the records above, in order, we have 4.23; 5.01; 6.45; 4.85; 5.40; 6.40; 6.09; 4.54 g/cm3.
Looking at total energy for the records above, in order, we have -3.273; -3.838; -5.358; -4.417; -4.936; -3.924; -3.950; -4.915 eV per atom.